1.
Computed, not measured: a relaxed Li4IrPdO6 crystal at the GGA-PBE level of DFT. Values from VASP.

Output
The crystal system is monoclinic. The total energy is -5.60 eV per atom.

Geometry as Quantum ESPRESSO input:
```
&SYSTEM
  ibrav = 0, nat = 12, ntyp = 4
/
ATOMIC_SPECIES
Li 6.94 Li.upf
Ir 192.22 Ir.upf
Pd 106.42 Pd.upf
O 16.00 O.upf
ATOMIC_POSITIONS crystal
Li 0.0000 0.0000 0.0000
Li 0.3423 0.6577 0.0000
Li 0.6783 0.3217 0.0000
Li 0.8398 0.1602 0.5000
Ir 0.1733 0.8267 0.5000
Pd 0.5069 0.4931 0.5000
O 0.1012 0.4251 0.2596
O 0.2631 0.2353 0.7373
O 0.4138 0.0763 0.2624
O 0.5749 0.8988 0.7404
O 0.7647 0.7369 0.2627
O 0.9237 0.5862 0.7376
CELL_PARAMETERS angstrom
2.5773 -4.4497 0.0000
2.5773 4.4497 0.0000
-1.7297 0.0000 4.7517
```

2.
Computed, not measured: a relaxed DyZnFe crystal at the GGA-PBE level of DFT. Values from VASP.

Output
The calculation puts the calculated formation energy at 26.7 kJ/mol of atoms. The crystal system is cubic. The total energy is -4.45 eV per atom.

Geometry as Quantum ESPRESSO input:
```
&SYSTEM
  ibrav = 0, nat = 3, ntyp = 3
/
ATOMIC_SPECIES
Dy 162.50 Dy.upf
Zn 65.41 Zn.upf
Fe 55.84 Fe.upf
ATOMIC_POSITIONS crystal
Dy 0.0000 0.0000 0.0000
Zn 0.5000 0.5000 0.5000
Fe 0.2500 0.2500 0.2500
CELL_PARAMETERS angstrom
0.0000 3.1126 3.1126
3.1126 0.0000 3.1126
3.1126 3.1126 0.0000
```

3.
Computed, not measured: a relaxed AcZnCd crystal at the GGA-PBE level of DFT. Values from VASP.

Output
The energy above the most stable polymorph in this dataset is 0.000 eV per atom. The calculation puts the calculated formation energy at -20.7 kJ/mol of atoms. The crystal system is hexagonal. The total energy is -2.30 eV per atom.

Geometry as Quantum ESPRESSO input:
```
&SYSTEM
  ibrav = 0, nat = 9, ntyp = 3
/
ATOMIC_SPECIES
Ac 227.00 Ac.upf
Zn 65.41 Zn.upf
Cd 112.41 Cd.upf
ATOMIC_POSITIONS crystal
Ac 0.0000 0.5720 0.0000
Ac 0.4280 0.4280 0.0000
Ac 0.5720 0.0000 0.0000
Zn 0.0000 0.2281 0.5000
Zn 0.2281 0.0000 0.5000
Zn 0.7719 0.7719 0.5000
Cd 0.0000 0.0000 0.0000
Cd 0.3333 0.6667 0.5000
Cd 0.6667 0.3333 0.5000
CELL_PARAMETERS angstrom
7.7072 0.0000 0.0000
-3.8536 6.6747 0.0000
0.0000 0.0000 4.7411
```

Question: Which value of total energy does entry 1 give?
Answer: -5.60 eV per atom

Question: Look up the total energy of the second one.
Answer: -4.45 eV per atom

Question: Which of these has the highest total energy?
Answer: AcZnCd